(1)
This record from OQMD describes a geometry-optimized HgSbO3 structure. The functional is PBE.

Computed properties:
The value obtained for the total energy is -91.08 eV/cell.

```
HgSbO3
1.0
5.991 0.000 0.000
0.000 8.752 0.000
0.000 0.000 5.576
Hg Sb O
4 4 12
Direct
0.000 0.000 0.000
0.000 0.500 0.000
0.500 0.000 0.500
0.500 0.500 0.500
0.023 0.250 0.498
0.477 0.750 0.998
0.523 0.250 0.002
0.977 0.750 0.502
0.146 0.588 0.672
0.146 0.912 0.672
0.152 0.750 0.198
0.348 0.250 0.698
0.354 0.088 0.172
0.354 0.412 0.172
0.646 0.588 0.828
0.646 0.912 0.828
0.652 0.750 0.302
0.848 0.250 0.802
0.854 0.088 0.328
0.854 0.412 0.328
```


(2)
This record from OQMD describes a geometry-optimized KDyPO structure. The functional is PBE.

Computed properties:
The offset from the most stable computed form is 495 meV per atom. The value obtained for the total energy is -40.28 eV/cell.

```
KDyPO
1.0
5.695 0.000 0.000
0.000 5.695 0.000
0.000 0.000 5.081
K Dy P O
2 2 2 2
Direct
0.250 0.250 0.003
0.750 0.750 0.997
0.250 0.750 0.500
0.750 0.250 0.500
0.250 0.250 0.503
0.750 0.750 0.497
0.250 0.750 0.000
0.750 0.250 0.000
```


(3)
This record from OQMD describes a geometry-optimized AcPuPt structure. The functional is PBE.

Computed properties:
The value obtained for the calculated formation energy is 0.07 eV per atom. The offset from the most stable computed form is 604 meV per atom. The value obtained for the total energy is -24.07 eV/cell.

```
AcPuPt
1.0
0.000 3.523 3.523
3.523 0.000 3.523
3.523 3.523 0.000
Ac Pu Pt
1 1 1
Direct
0.000 0.000 0.000
0.250 0.250 0.250
0.750 0.750 0.750
```


(4)
This record from OQMD describes a geometry-optimized TmLuGa structure. The functional is PBE.

Computed properties:
The offset from the most stable computed form is 0 meV per atom. The value obtained for the total energy is -12.78 eV/cell.

```
TmLuGa
1.0
0.000 3.439 3.439
3.439 0.000 3.439
3.439 3.439 0.000
Tm Lu Ga
1 1 1
Direct
0.000 0.000 0.000
0.500 0.500 0.500
0.750 0.750 0.750
```